Entry 1:
Compound: TbSm3Mg3
Source: the Alexandria database
Functional: PBE
Structure: relaxed

Properties
Excess energy over the best structure of this formula in the dataset: 0.13 eV/f.u.
Energy of formation: 0.0904 eV/atom
Symmetry: C2/m, No. 12

Unit cell a=6.4977 b=6.4977 c=10.7556 alpha=91.05 beta=91.05 gamma=111.64
Site moments in Bohr magnetons follow the coordinates.
Atoms (fractional coordinates):
1 Mg 0.0009 0.0009 0.2422  0.00
2 Mg 0.4996 0.9829 0.7507  0.00
3 Mg 0.0171 0.5004 0.2493  0.00
4 Mg 0.5004 0.0171 0.2493  0.00
5 Mg 0.9991 0.9991 0.7578  0.00
6 Mg 0.9829 0.4996 0.7507  0.00
7 Sm 0.2261 0.7739 0.0000  0.00
8 Sm 0.5373 0.5373 0.3314  0.17
9 Sm 0.4627 0.4627 0.6686  0.17
10 Sm 0.1754 0.8246 0.5000  0.12
11 Sm 0.8246 0.1754 0.5000  0.12
12 Sm 0.7739 0.2261 0.0000  0.00
13 Tb 0.7147 0.7147 0.9892  0.02
14 Tb 0.2853 0.2853 0.0108  0.02

***

Entry 2:
Compound: TbSm2Mg6
Source: the Alexandria database
Functional: PBE
Structure: relaxed

Properties
Energy of formation: -0.0873 eV/atom
Symmetry: P6/mmm, No. 191

Unit cell a=3.3071 b=9.1418 c=9.1418 alpha=59.99 beta=90.00 gamma=90.00
Atoms (fractional coordinates):
1 Mg 0.5006 0.3318 0.0000
2 Mg 0.5000 0.3318 0.6682
3 Mg 0.5000 0.6682 0.3318
4 Mg 0.5006 0.0000 0.3318
5 Mg 0.4994 0.6682 0.0000
6 Mg 0.4994 0.0000 0.6682
7 Sm 0.0000 0.3333 0.3333
8 Sm 0.0000 0.6667 0.6667
9 Tb 0.0000 0.0000 0.0000

***

Entry 3:
Compound: TbSmMgTc
Source: the Alexandria database
Functional: PBE
Structure: relaxed

Properties
Energy of formation: 0.0311 eV/atom
Symmetry: F-43m, No. 216

Unit cell a=5.0914 b=5.0914 c=5.0914 alpha=60.00 beta=60.00 gamma=60.00
Atoms (fractional coordinates):
1 Tc 0.5000 0.5000 0.5000
2 Tb 0.2500 0.2500 0.2500
3 Mg 0.0000 0.0000 0.0000
4 Sm 0.7500 0.7500 0.7500

***

Entry 4:
Compound: Tb3Sm3MgTe8
Source: the Alexandria database
Functional: PBE
Structure: relaxed

Properties
Raw formation energy: -1.32 eV/atom
Symmetry: R-3m, No. 166

Unit cell a=8.7722 b=8.7725 c=8.8065 alpha=119.87 beta=90.00 gamma=120.00
Atoms (fractional coordinates):
1 Te 0.7553 0.0038 0.2591
2 Te 0.2485 0.0038 0.2591
3 Te 0.7553 0.5106 0.2591
4 Te 0.7515 0.9962 0.7409
5 Te 0.2519 0.5038 0.2556
6 Te 0.2447 0.4894 0.7409
7 Te 0.7481 0.4962 0.7444
8 Te 0.2447 0.9962 0.7409
9 Sm 0.0000 0.5000 0.0000
10 Sm 0.0000 0.0000 0.0000
11 Sm 0.5000 0.5000 0.0000
12 Mg 0.0000 0.0000 0.5000
13 Tb 0.5000 0.5000 0.5000
14 Tb 0.0000 0.5000 0.5000
15 Tb 0.5000 0.0000 0.5000

***

no.,raw total energy (eV per atom)
1,-3.277
2,-2.714
3,-5.296
4,-4.971